Entry 1:
Crystalline NaDy2RhO5 at its relaxed geometry. Source: Alexandria via LeMat-Bulk, functional PBE.

E_tot (eV per cell): -126.668
Mass density (g cm⁻³): 7.158
Uncorrected formation energy (meV/atom): -2297
Symmetry: P4/mbm (127)

a = 6.5423 Å, b = 6.5423 Å, c = 5.7547 Å
α = 90.00°, β = 90.00°, γ = 90.00°
With the nearest neighbours (Å) after each atom.
Element x y z (fractional)
Na (0.0000, 0.0000, 0.0000)  10 O 2.88-2.93
Na (0.5000, 0.5000, 0.0000)  10 O 2.88-2.93
Dy (0.1763, 0.3237, 0.5000)  4 O 2.22-2.41
Dy (0.3237, 0.8237, 0.5000)  4 O 2.22-2.41
Dy (0.6763, 0.1763, 0.5000)  4 O 2.22-2.41
Dy (0.8237, 0.6763, 0.5000)  4 O 2.22-2.41
Rh (0.0000, 0.5000, 0.0000)  4 O 1.95
Rh (0.5000, 0.0000, 0.0000)  4 O 1.95
O (0.0000, 0.0000, 0.5000)  4 Dy 2.41
O (0.1383, 0.6383, 0.2562)  1 Rh 1.95
O (0.1383, 0.6383, 0.7438)  1 Rh 1.95
O (0.3617, 0.1383, 0.2562)  1 Rh 1.95
O (0.3617, 0.1383, 0.7438)  1 Rh 1.95
O (0.5000, 0.5000, 0.5000)  4 Dy 2.41
O (0.6383, 0.8617, 0.2562)  1 Rh 1.95
O (0.6383, 0.8617, 0.7438)  1 Rh 1.95
O (0.8617, 0.3617, 0.2562)  1 Rh 1.95
O (0.8617, 0.3617, 0.7438)  1 Rh 1.95

***

Entry 2:
Crystalline LaSbAs2 at its relaxed geometry. Source: Alexandria via LeMat-Bulk, functional PBE.

E_tot (eV per cell): -20.963
Mass density (g cm⁻³): 6.185
Uncorrected formation energy (meV/atom): -653
Symmetry: P2/m (10)

a = 4.4293 Å, b = 4.1769 Å, c = 6.1959 Å
α = 90.00°, β = 105.97°, γ = 90.00°
With the nearest neighbours (Å) after each atom.
Element x y z (fractional)
La (0.0000, 0.0000, 0.0000)  4 As 3.08, 2 Sb 3.28
Sb (0.5000, 0.0000, 0.5000)  4 As 2.96, 2 La 3.28
As (0.3512, 0.5000, 0.7943)  1 As 2.53
As (0.6488, 0.5000, 0.2057)  1 As 2.53

***

Entry 3:
Crystalline YMo2W at its relaxed geometry. Source: Alexandria via LeMat-Bulk, functional PBE.

Energy of formation (eV per atom): 0.6427
E_tot (eV per cell): -38.509
Mass density (g cm⁻³): 10.476
Symmetry: I-4m2 (119)

a = 5.5893 Å, b = 5.5893 Å, c = 5.5893 Å
α = 139.27°, β = 139.27°, γ = 58.97°
With the nearest neighbours (Å) after each atom.
Element x y z (fractional)
Y (0.0000, 0.0000, 0.0000)  4 Mo 2.75
Mo (0.2500, 0.7500, 0.5000)  4 W 2.75
Mo (0.5000, 0.5000, 0.0000)  4 Y 2.75
W (0.7500, 0.2500, 0.5000)  4 Mo 2.75

***

Entry 4:
Crystalline MgCdTe at its relaxed geometry. Source: Alexandria via LeMat-Bulk, functional PBE.

E_tot (eV per cell): -6.122
Mass density (g cm⁻³): 5.730
Uncorrected formation energy (meV/atom): -157
Symmetry: I4mm (107)

a = 5.5761 Å, b = 5.5761 Å, c = 5.5761 Å
α = 138.06°, β = 138.06°, γ = 60.81°
With the nearest neighbours (Å) after each atom.
Element x y z (fractional)
Mg (0.0000, 0.0000, 0.0000)  5 Cd 3.14-3.28, 5 Te 3.16-3.39
Cd (0.6733, 0.6733, 0.0000)  5 Te 3.09-3.30, 5 Mg 3.14-3.28
Te (0.3521, 0.3521, 0.0000)  5 Cd 3.09-3.30, 5 Mg 3.16-3.39

***

Entry 5:
Crystalline AcWN4 at its relaxed geometry. Source: Alexandria via LeMat-Bulk, functional PBE.

E_tot (eV per cell): -51.179
Mass density (g cm⁻³): 9.266
Uncorrected formation energy (meV/atom): -136
Symmetry: Pm (6)

a = 4.2518 Å, b = 4.1417 Å, c = 4.7581 Å
α = 90.00°, β = 93.13°, γ = 90.00°
With the nearest neighbours (Å) after each atom.
Element x y z (fractional)
Ac (0.0000, 0.0000, 0.0000)  7 N 2.59-2.85
W (0.5387, 0.5000, 0.4459)  4 N 1.97-2.10
N (0.0718, 0.5000, 0.4114)  1 N 1.39
N (0.4526, 0.0000, 0.6383)  1 N 1.38
N (0.5730, 0.0000, 0.3749)  1 N 1.38
N (0.9413, 0.5000, 0.6733)  1 N 1.39

***

Entry 6:
Crystalline DyScPt at its relaxed geometry. Source: Alexandria via LeMat-Bulk, functional PBE.

Energy of formation (eV per atom): -0.9694
E_tot (eV per cell): -59.648
Mass density (g cm⁻³): 9.840
Symmetry: Amm2 (38)

a = 4.6420 Å, b = 7.1169 Å, c = 7.1169 Å
α = 119.91°, β = 90.00°, γ = 90.00°
With the nearest neighbours (Å) after each atom.
Element x y z (fractional)
Dy (0.0000, 0.0000, 0.0000)  5 Pt 2.92-3.16
Dy (0.0000, 0.1799, 0.5903)  5 Pt 2.92-3.17
Dy (0.0000, 0.5903, 0.1799)  5 Pt 2.92-3.17
Sc (0.5000, 0.3337, 0.3337)  4 Pt 2.69-2.95
Sc (0.5000, 0.5896, 0.8463)  4 Pt 2.69-2.95
Sc (0.5000, 0.8463, 0.5896)  4 Pt 2.69-2.95
Pt (0.0000, 0.5902, 0.5902)  3 Dy 2.92, 6 Sc 2.95
Pt (0.5000, 0.2563, 0.9233)  3 Sc 2.69
Pt (0.5000, 0.9233, 0.2563)  3 Sc 2.69

***

Entry 7:
Crystalline SmGa3Ir3 at its relaxed geometry. Source: Alexandria via LeMat-Bulk, functional PBE.

Energy of formation (eV per atom): 0.0076
E_tot (eV per cell): -80.658
Mass density (g cm⁻³): 10.085
Symmetry: Pm-3n (223)

a = 6.7554 Å, b = 6.7554 Å, c = 6.7554 Å
α = 90.00°, β = 90.00°, γ = 90.00°
With the nearest neighbours (Å) after each atom.
Element x y z (fractional)
Sm (0.0000, 0.0000, 0.0000)  12 Ir 3.78, 12 Ga 3.78
Sm (0.5000, 0.5000, 0.5000)  12 Ir 3.78, 12 Ga 3.78
Ga (0.0000, 0.2500, 0.5000)  4 Ir 2.39
Ga (0.0000, 0.7500, 0.5000)  4 Ir 2.39
Ga (0.2500, 0.5000, 0.0000)  4 Ir 2.39
Ga (0.5000, 0.0000, 0.2500)  4 Ir 2.39
Ga (0.5000, 0.0000, 0.7500)  4 Ir 2.39
Ga (0.7500, 0.5000, 0.0000)  4 Ir 2.39
Ir (0.0000, 0.5000, 0.2500)  4 Ga 2.39
Ir (0.0000, 0.5000, 0.7500)  4 Ga 2.39
Ir (0.2500, 0.0000, 0.5000)  4 Ga 2.39
Ir (0.5000, 0.2500, 0.0000)  4 Ga 2.39
Ir (0.5000, 0.7500, 0.0000)  4 Ga 2.39
Ir (0.7500, 0.0000, 0.5000)  4 Ga 2.39

***

Entry 8:
Crystalline TaSi3Ru at its relaxed geometry. Source: Alexandria via LeMat-Bulk, functional PBE.

E_tot (eV per cell): -32.666
Mass density (g cm⁻³): 6.530
Uncorrected formation energy (meV/atom): 946
Symmetry: Pm-3m (221)

a = 4.5330 Å, b = 4.5330 Å, c = 4.5330 Å
α = 90.00°, β = 90.00°, γ = 90.00°
With the nearest neighbours (Å) after each atom.
Element x y z (fractional)
Ta (0.0000, 0.0000, 0.0000)  12 Si 3.21
Si (0.0000, 0.5000, 0.5000)  2 Ru 2.27
Si (0.5000, 0.0000, 0.5000)  2 Ru 2.27
Si (0.5000, 0.5000, 0.0000)  2 Ru 2.27
Ru (0.5000, 0.5000, 0.5000)  6 Si 2.27